Material: LiTiS2
Method: DFT, PBE-GGA
State: relaxed

a = 3.4384 Å, b = 3.4384 Å, c = 6.2265 Å
α = 90.00°, β = 90.00°, γ = 120.00°
Space group P-3m1 (No. 164)
Inequivalent atoms, fractional coordinates:
1 Li 0.0000 0.0000 0.0000 x1
2 Ti 0.0000 0.0000 0.5000 x1
3 S 0.3333 0.6667 0.7367 x2

Output
- ΔE_f (raw): -137.77 kJ per mole of atoms
- VASP energy: -23.775 eV/cell
- Size of the total moment: 0.0 μB/cell
- Crystal system: trigonal

---

Material: Li3TiS
Method: DFT, PBE-GGA
State: relaxed

a = 5.029 Å, b = 5.029 Å, c = 5.029 Å
α = 90.00°, β = 90.00°, γ = 90.00°
Space group Pm-3m (No. 221)
Inequivalent atoms, fractional coordinates:
1 Li 0.000 0.000 0.500 x3
2 Ti 0.000 0.000 0.000 x1
3 S 0.500 0.500 0.500 x1

Output
- ΔE_f (raw): 90.91 kJ per mole of atoms
- VASP energy: -13.053 eV/cell
- Offset from the most stable computed form: 877 meV per atom
- Size of the total moment: 3.0 μB/cell
- Crystal system: cubic

---

Material: LiTiS3
Method: DFT, PBE-GGA
State: relaxed

a = 4.376 Å, b = 7.053 Å, c = 8.308 Å
α = 104.79°, β = 105.20°, γ = 108.06°
Space group P-1 (No. 2)
Inequivalent atoms, fractional coordinates:
1 Li 0.120 0.000 0.242 x2
2 Ti 0.191 0.554 0.829 x2
3 S 0.077 0.746 0.406 x2
4 S 0.186 0.336 0.035 x2
5 S 0.265 0.819 0.707 x2

Output
- ΔE_f (raw): -95.42 kJ per mole of atoms
- VASP energy: -54.271 eV/cell
- Offset from the most stable computed form: 0 meV per atom
- Size of the total moment: 0.0 μB/cell
- Crystal system: triclinic

---

Material: Li4Ti5S12
Method: DFT, PBE-GGA
State: relaxed

a = 6.488 Å, b = 11.669 Å, c = 12.032 Å
α = 72.94°, β = 76.42°, γ = 78.46°
Space group P-1 (No. 2)
Inequivalent atoms, fractional coordinates:
1 Li 0.144 0.419 0.389 x2
2 Li 0.191 0.236 0.943 x2
3 Li 0.228 0.077 0.482 x2
4 Li 0.349 0.598 0.094 x2
5 Ti 0.079 0.574 0.853 x2
6 Ti 0.232 0.908 0.224 x2
7 Ti 0.311 0.724 0.578 x2
8 Ti 0.314 0.908 0.823 x2
9 Ti 0.375 0.407 0.640 x2
10 S 0.034 0.269 0.307 x2
11 S 0.039 0.417 0.771 x2
12 S 0.076 0.081 0.843 x2
13 S 0.157 0.896 0.418 x2
14 S 0.178 0.738 0.929 x2
15 S 0.248 0.430 0.015 x2
16 S 0.255 0.580 0.483 x2
17 S 0.328 0.269 0.552 x2
18 S 0.382 0.082 0.116 x2
19 S 0.400 0.896 0.634 x2
20 S 0.450 0.736 0.198 x2
21 S 0.454 0.569 0.727 x2

Output
- ΔE_f (raw): -119.25 kJ per mole of atoms
- VASP energy: -245.226 eV/cell
- Size of the total moment: 0.0 μB/cell
- Crystal system: triclinic

---

Material: Li8TiS6
Method: DFT, PBE-GGA
State: relaxed

a = 6.7106 Å, b = 6.7106 Å, c = 18.2962 Å
α = 90.00°, β = 90.00°, γ = 120.00°
Space group R-3 (No. 148, hexagonal axes)
Inequivalent atoms, fractional coordinates:
1 Li 0.0000 0.0000 0.1621 x6
2 Li 0.0138 0.6523 0.3804 x18
3 Ti 0.0000 0.0000 0.5000 x3
4 S 0.0096 0.6972 0.5767 x18

Output
- ΔE_f (raw): -124.68 kJ per mole of atoms
- VASP energy: -202.060 eV/cell
- Offset from the most stable computed form: 34 meV per atom
- Size of the total moment: 0.0 μB/cell
- Crystal system: trigonal

---

Material: LiTi2S
Method: DFT, PBE-GGA
State: relaxed

a = 7.048 Å, b = 7.048 Å, c = 5.172 Å
α = 90.00°, β = 90.00°, γ = 90.00°
Space group I-42d (No. 122)
Inequivalent atoms, fractional coordinates:
1 Li 0.000 0.000 0.000 x4
2 Ti 0.205 0.250 0.625 x8
3 S 0.000 0.000 0.500 x4

Output
- ΔE_f (raw): -27.55 kJ per mole of atoms
- VASP energy: -91.893 eV/cell
- Size of the total moment: 0.0 μB/cell
- Crystal system: tetragonal

---

Material: LiTiS2
Method: DFT, PBE-GGA
State: relaxed

a = 3.4783 Å, b = 3.4783 Å, c = 18.4239 Å
α = 90.00°, β = 90.00°, γ = 120.00°
Space group R-3m (No. 166, hexagonal axes)
Inequivalent atoms, fractional coordinates:
1 Li 0.0000 0.0000 0.0000 x3
2 Ti 0.0000 0.0000 0.5000 x3
3 S 0.0000 0.0000 0.2456 x6

Output
- ΔE_f (raw): -135.93 kJ per mole of atoms
- VASP energy: -71.097 eV/cell
- Size of the total moment: 1.7 μB/cell
- Crystal system: trigonal

---

Material: Li5TiS4
Method: DFT, PBE-GGA
State: relaxed

a = 3.710 Å, b = 6.844 Å, c = 13.204 Å
α = 90.00°, β = 90.00°, γ = 90.00°
Space group Immm (No. 71)
Inequivalent atoms, fractional coordinates:
1 Li 0.000 0.000 0.000 x2
2 Li 0.000 0.217 0.323 x8
3 Ti 0.000 0.500 0.000 x2
4 S 0.000 0.251 0.500 x4
5 S 0.000 0.500 0.201 x4

Output
- ΔE_f (raw): -122.65 kJ per mole of atoms
- VASP energy: -93.371 eV/cell
- Size of the total moment: 2.0 μB/cell
- Crystal system: orthorhombic

---

Material: LiTi5S6
Method: DFT, PBE-GGA
State: relaxed

a = 6.063 Å, b = 10.649 Å, c = 6.035 Å
α = 90.00°, β = 109.10°, γ = 90.00°
Space group C2/m (No. 12)
Inequivalent atoms, fractional coordinates:
1 Li 0.000 0.000 0.000 x2
2 Ti 0.000 0.185 0.500 x4
3 Ti 0.000 0.325 0.000 x4
4 Ti 0.000 0.500 0.500 x2
5 S 0.245 0.161 0.247 x8
6 S 0.246 0.000 0.749 x4

Output
- ΔE_f (raw): -124.79 kJ per mole of atoms
- VASP energy: -163.346 eV/cell
- Size of the total moment: 0.0 μB/cell
- Crystal system: monoclinic

---

Material: LiTi3S6
Method: DFT, PBE-GGA
State: relaxed

a = 3.4219 Å, b = 3.4219 Å, c = 18.8665 Å
α = 90.00°, β = 90.00°, γ = 120.00°
Space group P-3m1 (No. 164)
Inequivalent atoms, fractional coordinates:
1 Li 0.0000 0.0000 0.0000 x1
2 Ti 0.0000 0.0000 0.1674 x2
3 Ti 0.0000 0.0000 0.5000 x1
4 S 0.3333 0.6667 0.2409 x2
5 S 0.3333 0.6667 0.5752 x2
6 S 0.3333 0.6667 0.9129 x2

Output
- ΔE_f (raw): -129.86 kJ per mole of atoms
- VASP energy: -63.822 eV/cell
- Offset from the most stable computed form: 0 meV per atom
- Size of the total moment: 0.0 μB/cell
- Crystal system: trigonal

---

Material: LiTiS3
Method: DFT, PBE-GGA
State: relaxed

a = 4.714 Å, b = 4.714 Å, c = 4.714 Å
α = 90.00°, β = 90.00°, γ = 90.00°
Space group Pm-3m (No. 221)
Inequivalent atoms, fractional coordinates:
1 Li 0.000 0.000 0.000 x1
2 Ti 0.500 0.500 0.500 x1
3 S 0.000 0.500 0.500 x3

Output
- ΔE_f (raw): -76.01 kJ per mole of atoms
- VASP energy: -26.130 eV/cell
- Offset from the most stable computed form: 201 meV per atom
- Size of the total moment: 0.0 μB/cell
- Crystal system: cubic

---

Material: LiTi6S8
Method: DFT, PBE-GGA
State: relaxed

a = 9.9272 Å, b = 9.9272 Å, c = 10.5542 Å
α = 90.00°, β = 90.00°, γ = 120.00°
Space group R-3 (No. 148, hexagonal axes)
Inequivalent atoms, fractional coordinates:
1 Li 0.0000 0.0000 0.0000 x3
2 Ti 0.0181 0.1895 0.3843 x18
3 S 0.0000 0.0000 0.2299 x6
4 S 0.0284 0.2950 0.5955 x18

Output
- ΔE_f (raw): -125.62 kJ per mole of atoms
- VASP energy: -305.495 eV/cell
- Size of the total moment: 7.0 μB/cell
- Crystal system: trigonal